Here is a relaxed structure of In4SnHg3 from Alexandria via LeMat-Bulk. Energies are from PBE.

For the density of states at the Fermi level, the calculation gives 3.5 states/eV/f.u. As for the calculated formation energy: 0.0267 eV/atom. The calculation puts the energy above the most stable polymorph in this dataset at 0 meV per atom. The uncorrected energy comes out at -1.96 eV/atom. The calculation puts the magnetization at 0.00 μB per formula unit. The volume comes out at 213 Å³/cell.

It has space group Pmmm (No. 47), with a = 4.398 Å, b = 4.737 Å, c = 10.200 Å, α = 90.00°, β = 90.00° and γ = 90.00°. The inequivalent atoms are In at (0.000, 0.000, 0.000), In at (0.000, 0.000, 0.500), In at (0.000, 0.500, 0.247), Sn at (0.500, 0.500, 0.500), Hg at (0.500, 0.000, 0.253) and Hg at (0.500, 0.500, 0.000).